[1]
Entry from Alexandria via LeMat-Bulk: a relaxed structure of Tm2ScPb2O2 (PBE-GGA).

The value obtained for the formation energy from raw total energies is -1.636 eV per atom. The total magnetic moment is 0.00 μB/cell. As for the density: 9.96 g/cm3.

It has space group I4/mmm (No. 139), with a = 4.118 Å, b = 4.118 Å, c = 16.304 Å, α = 90.00°, β = 90.00° and γ = 90.00°. The inequivalent atoms are Tm at (0.000, 0.000, 0.102), Sc at (0.000, 0.000, 0.500), Pb at (0.000, 0.000, 0.304) and O at (0.000, 0.500, 0.000).


[2]
Entry from Alexandria via LeMat-Bulk: a relaxed structure of MoOs2W (PBE-GGA).

The value obtained for the energy relative to the elements is 0.61 eV/f.u. The total magnetic moment is 0.00 μB/cell. As for the density: 17.97 g/cm3. The calculation puts the energy above the most stable polymorph in this dataset at 0.091 eV/atom.

It has space group Pmm2 (No. 25), with a = 2.792 Å, b = 3.885 Å, c = 5.625 Å, α = 90.00°, β = 90.00° and γ = 90.00°. The inequivalent atoms are Mo at (0.000, 0.000, 0.000), Os at (0.000, 0.000, 0.487), Os at (0.500, 0.500, 0.236) and W at (0.500, 0.500, 0.726).


[3]
Entry from Alexandria via LeMat-Bulk: a relaxed structure of Mg6AlCd (PBE-GGA).

The value obtained for the energy relative to the elements is -0.10 eV/f.u. The total magnetic moment is 0.00 μB/cell. As for the density: 2.74 g/cm3. The calculation puts the energy above the most stable polymorph in this dataset at 0.022 eV/atom.

It has space group Amm2 (No. 38), with a = 5.025 Å, b = 6.395 Å, c = 10.738 Å, α = 90.00°, β = 90.00° and γ = 90.00°. The inequivalent atoms are Mg at (0.000, 0.000, 0.000), Mg at (0.000, 0.000, 0.499), Mg at (0.000, 0.246, 0.252), Mg at (0.500, 0.249, 0.582), Al at (0.500, 0.000, 0.333) and Cd at (0.500, 0.000, 0.832).


[4]
Entry from Alexandria via LeMat-Bulk: a relaxed structure of ZrTcRh2 (PBE-GGA).

The value obtained for the energy relative to the elements is -1.11 eV/f.u. The total magnetic moment is 0.00 μB/cell. As for the density: 10.33 g/cm3. The calculation puts the energy above the most stable polymorph in this dataset at 0.127 eV/atom.

It has space group P4/mmm (No. 123), with a = 2.849 Å, b = 2.849 Å, c = 7.823 Å, α = 90.00°, β = 90.00° and γ = 90.00°. The inequivalent atoms are Zr at (0.000, 0.000, 0.000), Tc at (0.000, 0.000, 0.500) and Rh at (0.500, 0.500, 0.269).